# 1
The following is a PBE calculation of a relaxed structure of La2Ti2Re, from Alexandria.

Calculated values
E_form   0.555 eV/atom
E_tot   -7.06 eV/atom
Polymorph energy (0 for the lowest one)   0.00 eV per formula unit

```
data_La2Ti2Re
_space_group_name_H-M_alt 'I 4/m m m'
_space_group_IT_number 139
_space_group_name_Hall '-I 4 2'
_cell_length_a 3.529
_cell_length_b 3.529
_cell_length_c 20.142
_cell_angle_alpha 90.00
_cell_angle_beta 90.00
_cell_angle_gamma 90.00
loop_
_atom_site_label
_atom_site_fract_x
_atom_site_fract_y
_atom_site_fract_z
_atom_site_occupancy
La1 0.000 0.000 0.088 1
Ti1 0.000 0.500 0.250 1
Re1 0.000 0.000 0.500 1
```



# 2
The following is a PBE calculation of a relaxed structure of LaTi2Re, from Alexandria.

Calculated values
E_form   0.812 eV/atom
E_tot   -7.48 eV/atom
Polymorph energy (0 for the lowest one)   3.52 eV per formula unit

```
data_LaTi2Re
_space_group_name_H-M_alt 'I -4 2 d'
_space_group_IT_number 122
_space_group_name_Hall 'I -4 2bw'
_cell_length_a 4.720
_cell_length_b 4.720
_cell_length_c 17.975
_cell_angle_alpha 90.00
_cell_angle_beta 90.00
_cell_angle_gamma 90.00
loop_
_atom_site_label
_atom_site_fract_x
_atom_site_fract_y
_atom_site_fract_z
_atom_site_occupancy
La1 0.000 0.000 0.000 1
Ti1 0.032 0.750 0.625 1
Re1 0.000 0.000 0.500 1
```



# 3
The following is a PBE calculation of a relaxed structure of LaTi2Re, from Alexandria.

Calculated values
E_form   0.232 eV/atom
E_tot   -8.06 eV/atom
Polymorph energy (0 for the lowest one)   1.20 eV per formula unit

```
data_LaTi2Re
_space_group_name_H-M_alt 'F m -3 m'
_space_group_IT_number 225
_space_group_name_Hall '-F 4 2 3'
_cell_length_a 6.674
_cell_length_b 6.674
_cell_length_c 6.674
_cell_angle_alpha 90.00
_cell_angle_beta 90.00
_cell_angle_gamma 90.00
loop_
_atom_site_label
_atom_site_fract_x
_atom_site_fract_y
_atom_site_fract_z
_atom_site_occupancy
La1 0.000 0.000 0.000 1
Ti1 0.250 0.250 0.250 1
Re1 0.000 0.000 0.500 1
```



# 4
The following is a PBE calculation of a relaxed structure of LaTi2Re, from Alexandria.

Calculated values
E_form   -0.068 eV/atom
E_tot   -8.36 eV/atom
Polymorph energy (0 for the lowest one)   0.00 eV per formula unit

```
data_LaTi2Re
_space_group_name_H-M_alt 'P 4/m m m'
_space_group_IT_number 123
_space_group_name_Hall '-P 4 2'
_cell_length_a 3.194
_cell_length_b 3.194
_cell_length_c 7.978
_cell_angle_alpha 90.00
_cell_angle_beta 90.00
_cell_angle_gamma 90.00
loop_
_atom_site_label
_atom_site_fract_x
_atom_site_fract_y
_atom_site_fract_z
_atom_site_occupancy
La1 0.000 0.000 0.000 1
Ti1 0.500 0.500 0.321 1
Re1 0.000 0.000 0.500 1
```



# 5
The following is a PBE calculation of a relaxed structure of La3TiRe, from Alexandria.

Calculated values
E_form   0.641 eV/atom
E_tot   -6.38 eV/atom
Polymorph energy (0 for the lowest one)   0.00 eV per formula unit

```
data_La3TiRe
_space_group_name_H-M_alt 'P m -3 m'
_space_group_IT_number 221
_space_group_name_Hall '-P 4 2 3'
_cell_length_a 5.509
_cell_length_b 5.509
_cell_length_c 5.509
_cell_angle_alpha 90.00
_cell_angle_beta 90.00
_cell_angle_gamma 90.00
loop_
_atom_site_label
_atom_site_fract_x
_atom_site_fract_y
_atom_site_fract_z
_atom_site_occupancy
La1 0.000 0.000 0.500 1
Ti1 0.500 0.500 0.500 1
Re1 0.000 0.000 0.000 1
```



# 6
The following is a PBE calculation of a relaxed structure of La2TiRe, from Alexandria.

Calculated values
E_form   0.582 eV/atom
E_tot   -6.97 eV/atom
Polymorph energy (0 for the lowest one)   0.23 eV per formula unit

```
data_La2TiRe
_space_group_name_H-M_alt 'I -4 2 d'
_space_group_IT_number 122
_space_group_name_Hall 'I -4 2bw'
_cell_length_a 10.523
_cell_length_b 10.523
_cell_length_c 4.829
_cell_angle_alpha 90.00
_cell_angle_beta 90.00
_cell_angle_gamma 90.00
loop_
_atom_site_label
_atom_site_fract_x
_atom_site_fract_y
_atom_site_fract_z
_atom_site_occupancy
La1 0.095 0.250 0.125 1
Ti1 0.000 0.000 0.500 1
Re1 0.000 0.000 0.000 1
```



# 7
The following is a PBE calculation of a relaxed structure of La2TiRe, from Alexandria.

Calculated values
E_form   0.524 eV/atom
E_tot   -7.03 eV/atom
Polymorph energy (0 for the lowest one)   0.00 eV per formula unit

```
data_La2TiRe
_space_group_name_H-M_alt 'F m -3 m'
_space_group_IT_number 225
_space_group_name_Hall '-F 4 2 3'
_cell_length_a 7.278
_cell_length_b 7.278
_cell_length_c 7.278
_cell_angle_alpha 90.00
_cell_angle_beta 90.00
_cell_angle_gamma 90.00
loop_
_atom_site_label
_atom_site_fract_x
_atom_site_fract_y
_atom_site_fract_z
_atom_site_occupancy
La1 0.250 0.250 0.250 1
Ti1 0.000 0.000 0.000 1
Re1 0.000 0.000 0.500 1
```



# 8
The following is a PBE calculation of a relaxed structure of LaTiTlRe2, from Alexandria.

Calculated values
E_form   1.863 eV/atom
E_tot   -6.15 eV/atom
Polymorph energy (0 for the lowest one)   2.96 eV per formula unit

```
data_LaTiTlRe2
_space_group_name_H-M_alt 'P 4/m m m'
_space_group_IT_number 123
_space_group_name_Hall '-P 4 2'
_cell_length_a 5.096
_cell_length_b 5.096
_cell_length_c 4.897
_cell_angle_alpha 90.00
_cell_angle_beta 90.00
_cell_angle_gamma 90.00
loop_
_atom_site_label
_atom_site_fract_x
_atom_site_fract_y
_atom_site_fract_z
_atom_site_occupancy
La1 0.000 0.000 0.000 1
Ti1 0.500 0.500 0.000 1
Tl1 0.500 0.500 0.500 1
Re1 0.000 0.500 0.500 1
```



Q: Which formula does entry 1 have?
A: La2Ti2Re



Q: The highest E_form belongs to which entry?
A: LaTiTlRe2